Entry 1:
CuRe2Si, relaxed, DFT GGA-PBEsol; raw total energy = -0.67306 Ry per atom; raw formation energy = 0.1 eV per formula unit
1.0
-1.4833 2.0888 4.1921
1.4833 -2.0888 4.1921
1.4833 2.0888 -4.1921
Cu Re Si
1 2 1
Cartesian
0.0000 0.0000 0.0000
1.4833 0.0000 2.2528
0.0000 0.0000 4.4852
0.0000 2.0888 2.3031

---

Entry 2:
NaCrGaB2, relaxed, DFT GGA-PBEsol; raw total energy = -0.33360 Ry per atom; calculated formation energy = 1264 meV per atom
1.0
3.9921 0.0000 0.0000
0.0000 3.9921 0.0000
0.0000 0.0000 4.9774
Na Cr Ga B
1 1 1 2
Cartesian
0.0000 0.0000 0.0000
0.0000 0.0000 2.4887
1.9960 1.9960 0.0000
0.0000 1.9960 2.4887
1.9960 0.0000 2.4887

---

Entry 3:
TlTeAsO2, relaxed, DFT GGA-PBEsol; raw total energy = -0.34588 Ry per atom; raw formation energy = -1.8 eV per formula unit
1.0
4.0666 0.0000 0.0000
0.0000 4.0666 0.0000
0.0000 0.0000 5.5483
Tl Te As O
1 1 1 2
Cartesian
0.0000 0.0000 0.0000
2.0333 2.0333 2.7742
2.0333 2.0333 0.0000
0.0000 2.0333 2.7742
2.0333 0.0000 2.7742

---

Entry 4:
Li2SiAs, relaxed, DFT GGA-PBEsol; raw total energy = -0.28564 Ry per atom; raw formation energy = -0.8 eV per formula unit
1.0
4.2901 -1.3768 0.0000
4.2901 1.3768 0.0000
-0.9222 0.0000 5.1240
Li Si As
2 1 1
Cartesian
1.8998 0.0000 1.2870
5.7581 0.0000 3.8370
-0.4611 0.0000 2.5620
4.2901 0.0000 0.0000

---

Entry 5:
RbCdF2, relaxed, DFT GGA-PBEsol; raw total energy = -0.23333 Ry per atom; raw formation energy = -6.6 eV per formula unit
1.0
1.9012 1.0976 7.2445
-1.9012 1.0976 7.2445
0.0000 -2.1953 7.2445
Rb Cd F
1 1 2
Cartesian
0.0000 0.0000 0.0000
0.0000 0.0000 10.8668
0.0000 0.0000 2.5924
0.0000 0.0000 19.1411

---

Entry 6:
Ba2H3I, relaxed, DFT GGA-PBEsol; raw total energy = -0.26049 Ry per atom
1.0
4.4404 0.0000 0.0000
-2.2202 3.8455 0.0000
0.0000 0.0000 7.9222
Ba H I
2 3 1
Cartesian
0.0000 2.5637 2.4846
2.2202 1.2818 5.4376
0.0000 0.0000 3.9611
0.0000 2.5637 5.1040
2.2202 1.2818 2.8182
0.0000 0.0000 0.0000

---

Entry 7:
MnTe3Pd, relaxed, DFT GGA-PBEsol; raw total energy = -0.34235 Ry per atom; raw formation energy = 3.0 eV per formula unit
1.0
5.0145 0.0000 0.0000
0.0000 5.0145 0.0000
0.0000 0.0000 5.0145
Mn Te Pd
1 3 1
Cartesian
0.0000 0.0000 0.0000
0.0000 0.0000 2.5072
0.0000 2.5072 0.0000
2.5072 0.0000 0.0000
2.5072 2.5072 2.5072

---

Entry 8:
Ce3Y, relaxed, DFT GGA-PBEsol; raw total energy = -0.48150 Ry per atom; calculated formation energy = 101 meV per atom
1.0
3.3520 0.0000 0.0000
-1.6760 2.9030 0.0000
0.0000 0.0000 10.8687
Ce Y
3 1
Cartesian
0.0000 0.0000 0.0000
0.0000 1.9353 2.6279
0.0000 1.9353 8.2408
1.6760 0.9676 5.4343

---

Entry 9:
HfZnN2, relaxed, DFT GGA-PBEsol; raw total energy = -0.61011 Ry per atom; raw formation energy = -4.1 eV per formula unit
1.0
-2.3376 2.3376 4.8513
2.3376 -2.3376 4.8513
2.3376 2.3376 -4.8513
Hf Zn N
2 2 4
Cartesian
0.0000 0.0000 0.0000
0.0000 2.3376 2.4257
2.3376 0.0000 2.4257
0.0000 0.0000 4.8513
3.5064 1.1566 -1.2128
1.1566 1.1688 1.2128
-1.1688 1.1810 3.6385
1.1810 1.1688 6.0641

---

Entry 10:
Co4Si, relaxed, DFT GGA-PBEsol; raw total energy = -0.55854 Ry per atom; raw formation energy = -1.3 eV per formula unit
1.0
-2.7144 2.7144 1.7404
2.7144 -2.7144 1.7404
2.7144 2.7144 -1.7404
Co Si
4 1
Cartesian
1.6453 0.5496 0.0000
2.1647 -1.0691 1.7404
0.5496 3.7835 0.0000
1.0691 2.1647 1.7404
0.0000 0.0000 1.7404

---

Entry 11:
AgP2Br, relaxed, DFT GGA-PBEsol; raw total energy = -0.26076 Ry per atom; raw formation energy = 2.6 eV per formula unit; offset from the most stable computed form = 0.490 eV/atom
1.0
2.4101 -6.6058 0.0000
2.4101 6.6058 0.0000
0.0000 0.0000 2.6527
Ag P Br
1 2 1
Cartesian
0.0000 0.0000 0.0000
1.2050 3.3029 1.3264
1.2050 -3.3029 1.3264
2.4101 0.0000 0.0000

---

Entry 12:
Na3CoBPO7, relaxed, DFT GGA-PBEsol; raw total energy = -0.49141 Ry per atom; raw formation energy = -25.4 eV per formula unit
1.0
5.1411 0.0000 0.0000
0.0000 6.2465 0.0000
-0.3537 0.0000 8.8344
Na Co B P O
6 2 2 2 14
Cartesian
1.1744 1.5616 0.6519
1.0165 3.1736 6.5099
1.0165 6.1962 6.5099
3.7709 0.0503 2.3245
3.7709 3.0729 2.3245
3.6130 4.6849 8.1825
1.0168 4.6849 2.9599
3.7706 1.5616 5.8744
1.3814 4.6849 0.6517
3.4059 1.5616 8.1827
1.2882 1.5616 3.7581
3.4992 4.6849 5.0763
0.1351 4.6849 1.2835
0.3927 1.5616 4.9950
0.9927 0.3576 2.8081
0.9927 2.7657 2.8081
1.2359 4.6849 8.1643
1.9956 4.6849 4.6730
2.3600 4.6849 1.6460
2.4274 1.5616 7.1884
2.7918 1.5616 4.1613
3.5515 1.5616 0.6700
3.7947 3.4808 6.0263
3.7947 5.8889 6.0263
4.3947 4.6849 3.8393
4.6523 1.5616 7.5509